CsAlS2N: optimized geometry, GGA-PBEsol.

```
CsAlS2N
1.0
-1.208 0.875 -5.096
-5.397 -0.750 1.151
-0.530 5.442 1.060
Al S N Cs
1 2 1 1
Direct
0.500 0.500 0.500 Al
0.000 0.000 0.500 S
0.000 0.500 0.000 S
0.500 0.000 0.000 N
0.000 0.000 0.000 Cs
```

Properties
The formation energy from raw total energies is 1.74 eV per atom. Its total magnetization is 0.634 μB/atom. The calculation puts the mass density at 2.400 g/cm³.

=====

CsAlSN2: optimized geometry, GGA-PBEsol.

```
CsAlSN2
1.0
-0.324 4.138 -0.729
-0.931 0.643 4.059
4.690 0.541 0.990
Al Cs S N
1 1 1 2
Direct
0.000 0.000 0.000 Al
0.500 0.500 0.500 Cs
0.000 0.000 0.500 S
0.500 0.000 0.000 N
0.000 0.500 0.000 N
```

Properties
The formation energy from raw total energies is 0.58 eV per atom. Its total magnetization is 0.625 μB/atom. The calculation puts the mass density at 4.264 g/cm³.

=====

CsNa2Al2: optimized geometry, GGA-PBEsol.

```
CsNa2Al2
1.0
3.500 0.000 0.000
0.000 9.368 0.000
0.000 0.000 9.368
Na Al Cs
4 4 2
Direct
0.500 0.316 0.184 Na
0.500 0.816 0.316 Na
0.500 0.184 0.684 Na
0.500 0.684 0.816 Na
0.000 0.600 0.100 Al
0.000 0.400 0.900 Al
0.000 0.900 0.600 Al
0.000 0.100 0.400 Al
0.000 0.000 0.000 Cs
0.000 0.500 0.500 Cs
```

Properties
The energy of formation is 283 meV/atom. Its total magnetization is 0.000 μB/atom. The calculation puts the mass density at 2.517 g/cm³.

=====

CsAlNiPb2: optimized geometry, GGA-PBEsol.

```
CsAlNiPb2
1.0
-3.470 -2.952 -2.264
1.809 -4.044 2.500
-3.691 1.022 4.323
Pb Cs Al Ni
2 1 1 1
Direct
0.000 0.500 0.000 Pb
0.500 0.000 0.000 Pb
0.000 0.000 0.500 Cs
0.500 0.500 0.500 Al
0.000 0.000 0.000 Ni
```

Properties
The energy of formation is 471 meV/atom. Its total magnetization is 0.000 μB/atom. The calculation puts the mass density at 7.033 g/cm³.

=====

Cs3AlO3: optimized geometry, GGA-PBEsol.

```
Cs3AlO3
1.0
-4.855 1.344 4.997
0.537 -7.536 -1.983
8.848 -1.756 9.069
Cs O Al
12 12 4
Direct
0.369 0.074 0.197 Cs
0.560 0.478 0.654 Cs
0.015 0.727 0.441 Cs
0.515 0.727 0.059 Cs
0.131 0.926 0.697 Cs
0.060 0.478 0.846 Cs
0.631 0.926 0.803 Cs
0.940 0.522 0.154 Cs
0.485 0.273 0.941 Cs
0.440 0.522 0.346 Cs
0.869 0.074 0.303 Cs
0.985 0.273 0.559 Cs
0.528 0.089 0.589 O
0.472 0.911 0.411 O
0.701 0.330 0.399 O
0.972 0.911 0.089 O
0.253 0.165 0.432 O
0.299 0.670 0.601 O
0.247 0.835 0.932 O
0.799 0.670 0.899 O
0.201 0.330 0.101 O
0.753 0.165 0.068 O
0.028 0.089 0.911 O
0.747 0.835 0.568 O
0.986 0.142 0.047 Al
0.514 0.858 0.547 Al
0.486 0.142 0.453 Al
0.014 0.858 0.953 Al
```

Properties
The formation energy from raw total energies is -1.93 eV per atom. Its total magnetization is 0.000 μB/atom. The calculation puts the mass density at 4.863 g/cm³.

=====

CsAlO2: optimized geometry, GGA-PBEsol.

```
CsAlO2
1.0
-5.328 -0.478 2.085
-3.482 -4.132 -1.941
-1.370 -4.427 3.389
O Al Cs
4 2 2
Direct
0.125 0.125 0.125 O
0.625 0.125 0.125 O
0.125 0.625 0.125 O
0.125 0.125 0.625 O
0.250 0.250 0.250 Al
0.000 0.000 0.000 Al
0.500 0.500 0.500 Cs
0.750 0.750 0.750 Cs
```

Properties
The formation energy from raw total energies is -2.55 eV per atom. Its total magnetization is 0.000 μB/atom. The calculation puts the mass density at 4.762 g/cm³.

=====

Which value of total magnetization does entry 2 give? 0.625 μB/atom

=====

Please write out number 4 again, unchanged.
CsAlNiPb2: optimized geometry, GGA-PBEsol.

```
CsAlNiPb2
1.0
-3.470 -2.952 -2.264
1.809 -4.044 2.500
-3.691 1.022 4.323
Pb Cs Al Ni
2 1 1 1
Direct
0.000 0.500 0.000 Pb
0.500 0.000 0.000 Pb
0.000 0.000 0.500 Cs
0.500 0.500 0.500 Al
0.000 0.000 0.000 Ni
```

Properties
The energy of formation is 471 meV/atom. Its total magnetization is 0.000 μB/atom. The calculation puts the mass density at 7.033 g/cm³.